# 1
Density functional theory data (PBE) for a geometry-optimized La4PrHo2 structure.

Geometry as extended XYZ:
```
14
Lattice="-1.054 -6.189 -3.100 4.887 -6.707 3.820 -6.627 -4.842 4.013" Properties=species:S:1:pos:R:3 pbc="T T T"
La -0.797 -4.955 2.255
La -1.997 -12.784 2.478
La -4.567 -10.106 1.459
La -1.605 -10.740 6.170
La 1.773 -7.633 3.274
La -3.973 -6.619 3.205
La -1.190 -6.999 -1.438
La 1.179 -11.119 1.528
Pr 2.443 -3.354 1.910
Pr 1.916 -6.448 0.360
Ho 1.333 -10.496 4.685
Ho -4.127 -7.243 0.048
Ho -0.527 -3.095 -1.550
Ho -1.397 -8.869 2.366
```

Computed properties:
calculated volume: 498.1 Å³/cell
total moment: 0.00 μB/f.u.
space group: No. 74
offset from the most stable computed form: 0.154 eV/atom

# 2
Density functional theory data (PBE) for a geometry-optimized Dy5Sn11 structure.

Geometry as extended XYZ:
```
16
Lattice="-8.599 -13.050 -14.873 -5.188 -17.303 -11.796 4.453 14.630 15.218" Properties=species:S:1:pos:R:3 pbc="T T T"
Sn -2.899 -1.028 -1.425
Sn -1.197 -3.164 0.105
Sn -11.977 -26.369 -23.169
Sn -1.809 -3.983 -3.500
Sn -6.435 -14.695 -10.026
Sn -6.893 -15.176 -13.334
Sn -10.350 -22.787 -20.021
Sn -6.487 -8.928 -8.366
Sn -3.436 -7.566 -6.647
Sn -8.136 -12.559 -11.556
Sn -2.846 -6.795 -3.085
Dy 0.000 0.000 0.000
Dy -4.607 -10.672 -6.491
Dy -4.726 -5.051 -4.960
Dy -8.510 -18.735 -16.461
Dy -5.277 -11.618 -10.208
```

Computed properties:
calculated volume: 418.4 Å³/cell
uncorrected energy: -75.98 eV per cell
total moment: 0.00 μB/f.u.
space group: No. 71

Please write out number 2 again, unchanged.
Density functional theory data (PBE) for a geometry-optimized Dy5Sn11 structure.

Geometry as extended XYZ:
```
16
Lattice="-8.599 -13.050 -14.873 -5.188 -17.303 -11.796 4.453 14.630 15.218" Properties=species:S:1:pos:R:3 pbc="T T T"
Sn -2.899 -1.028 -1.425
Sn -1.197 -3.164 0.105
Sn -11.977 -26.369 -23.169
Sn -1.809 -3.983 -3.500
Sn -6.435 -14.695 -10.026
Sn -6.893 -15.176 -13.334
Sn -10.350 -22.787 -20.021
Sn -6.487 -8.928 -8.366
Sn -3.436 -7.566 -6.647
Sn -8.136 -12.559 -11.556
Sn -2.846 -6.795 -3.085
Dy 0.000 0.000 0.000
Dy -4.607 -10.672 -6.491
Dy -4.726 -5.051 -4.960
Dy -8.510 -18.735 -16.461
Dy -5.277 -11.618 -10.208
```

Computed properties:
calculated volume: 418.4 Å³/cell
uncorrected energy: -75.98 eV per cell
total moment: 0.00 μB/f.u.
space group: No. 71

What is the formula in the second record? Dy5Sn11